[1]
# HfRh, optimized geometry, DFT PBE-GGA
# DOS(E_F): 0.77 states/eV/cell
# Formation energy: -877 meV/atom
data_HfRh
_symmetry_space_group_name_H-M 'P m -3 m'
_symmetry_Int_Tables_number 221
_symmetry_space_group_name_Hall '-P 4 2 3'
_cell_length_a 3.267
_cell_length_b 3.267
_cell_length_c 3.267
_cell_angle_alpha 90.00
_cell_angle_beta 90.00
_cell_angle_gamma 90.00
loop_
_atom_site_label
_atom_site_type_symbol
_atom_site_fract_x
_atom_site_fract_y
_atom_site_fract_z
Hf1 Hf 0.000 0.000 0.000
Rh1 Rh 0.500 0.500 0.500

=====

[2]
# LaSmZn2Ge2, optimized geometry, DFT PBE-GGA
# DOS(E_F): 3.97 states/eV/cell
# Formation energy: -682 meV/atom
data_LaSmZn2Ge2
_symmetry_space_group_name_H-M 'P -3 m 1'
_symmetry_Int_Tables_number 164
_symmetry_space_group_name_Hall '-P 3 2"'
_cell_length_a 4.2563
_cell_length_b 4.2563
_cell_length_c 8.5485
_cell_angle_alpha 90.00
_cell_angle_beta 90.00
_cell_angle_gamma 120.00
loop_
_atom_site_label
_atom_site_type_symbol
_atom_site_fract_x
_atom_site_fract_y
_atom_site_fract_z
La1 La 0.0000 0.0000 0.0000
Sm1 Sm 0.0000 0.0000 0.5000
Zn1 Zn 0.3333 0.6667 0.7420
Ge1 Ge 0.3333 0.6667 0.2574

=====

[3]
# TlAgBr4, optimized geometry, DFT PBE-GGA
# VASP energy: -2.423 eV per atom
data_TlAgBr4
_symmetry_space_group_name_H-M 'I -4'
_symmetry_Int_Tables_number 82
_cell_length_a 6.315
_cell_length_b 6.315
_cell_length_c 11.745
_cell_angle_alpha 90.00
_cell_angle_beta 90.00
_cell_angle_gamma 90.00
loop_
_symmetry_equiv_pos_as_xyz
'x,y,z'
'y,-x,-z'
'-x,-y,z'
'-y,x,-z'
'x+1/2,y+1/2,z+1/2'
'y+1/2,-x+1/2,-z+1/2'
'-x+1/2,-y+1/2,z+1/2'
'-y+1/2,x+1/2,-z+1/2'
loop_
_atom_site_label
_atom_site_type_symbol
_atom_site_fract_x
_atom_site_fract_y
_atom_site_fract_z
Tl1 Tl 0.000 0.000 0.000
Ag1 Ag 0.000 0.500 0.750
Br1 Br 0.233 0.251 0.129

=====

[4]
# Tl2CdOsO, optimized geometry, DFT PBE-GGA
# DOS(E_F): 3.06 states/eV/cell
# VASP energy: -4.176 eV per atom
data_Tl2CdOsO
_symmetry_space_group_name_H-M 'P 4/m m m'
_symmetry_Int_Tables_number 123
_symmetry_space_group_name_Hall '-P 4 2'
_cell_length_a 5.656
_cell_length_b 5.656
_cell_length_c 3.724
_cell_angle_alpha 90.00
_cell_angle_beta 90.00
_cell_angle_gamma 90.00
loop_
_atom_site_label
_atom_site_type_symbol
_atom_site_fract_x
_atom_site_fract_y
_atom_site_fract_z
Tl1 Tl 0.000 0.500 0.000
Cd1 Cd 0.000 0.000 0.500
Os1 Os 0.500 0.500 0.500
O1 O 0.500 0.500 0.000

=====

[5]
# RbSiAs4, optimized geometry, DFT PBE-GGA
# DOS(E_F): 3.69 states/eV/cell
# VASP energy: -4.230 eV per atom
data_RbSiAs4
_symmetry_space_group_name_H-M 'C 1 2/m 1'
_symmetry_Int_Tables_number 12
_cell_length_a 13.895
_cell_length_b 7.617
_cell_length_c 7.577
_cell_angle_alpha 90.00
_cell_angle_beta 103.26
_cell_angle_gamma 90.00
loop_
_symmetry_equiv_pos_as_xyz
'x,y,z'
'-x,-y,-z'
'-x,y,-z'
'x,-y,z'
'x+1/2,y+1/2,z'
'-x+1/2,-y+1/2,-z'
'-x+1/2,y+1/2,-z'
'x+1/2,-y+1/2,z'
loop_
_atom_site_label
_atom_site_type_symbol
_atom_site_fract_x
_atom_site_fract_y
_atom_site_fract_z
Rb1 Rb 0.173 0.000 0.343
Si1 Si 0.006 0.500 0.705
As1 As 0.000 0.262 0.500
As2 As 0.148 0.337 0.931
As3 As 0.152 0.500 0.221

=====

[6]
# Si3Os2, optimized geometry, DFT PBE-GGA
# DOS(E_F): 12.35 states/eV/cell
# VASP energy: -7.953 eV per atom
data_Si3Os2
_symmetry_space_group_name_H-M 'F d d 2'
_symmetry_Int_Tables_number 43
_symmetry_space_group_name_Hall 'F 2 -2d'
_cell_length_a 8.212
_cell_length_b 23.009
_cell_length_c 2.884
_cell_angle_alpha 90.00
_cell_angle_beta 90.00
_cell_angle_gamma 90.00
loop_
_atom_site_label
_atom_site_type_symbol
_atom_site_fract_x
_atom_site_fract_y
_atom_site_fract_z
Si1 Si 0.000 0.000 0.000
Si2 Si 0.072 0.406 0.971
Os1 Os 0.040 0.302 0.756

=====

[7]
# Sc2BeCuH, optimized geometry, DFT PBE-GGA
# DOS(E_F): 4.17 states/eV/cell
# VASP energy: -4.972 eV per atom
data_Sc2BeCuH
_symmetry_space_group_name_H-M 'P 4/m m m'
_symmetry_Int_Tables_number 123
_symmetry_space_group_name_Hall '-P 4 2'
_cell_length_a 4.532
_cell_length_b 4.532
_cell_length_c 3.295
_cell_angle_alpha 90.00
_cell_angle_beta 90.00
_cell_angle_gamma 90.00
loop_
_atom_site_label
_atom_site_type_symbol
_atom_site_fract_x
_atom_site_fract_y
_atom_site_fract_z
Sc1 Sc 0.000 0.500 0.000
Be1 Be 0.000 0.000 0.500
Cu1 Cu 0.500 0.500 0.500
H1 H 0.000 0.000 0.000

=====

[8]
# Zn3BAu, optimized geometry, DFT PBE-GGA
# DOS(E_F): 1.89 states/eV/cell
# Formation energy: 203 meV/atom
data_Zn3BAu
_symmetry_space_group_name_H-M 'P m -3 m'
_symmetry_Int_Tables_number 221
_symmetry_space_group_name_Hall '-P 4 2 3'
_cell_length_a 4.216
_cell_length_b 4.216
_cell_length_c 4.216
_cell_angle_alpha 90.00
_cell_angle_beta 90.00
_cell_angle_gamma 90.00
loop_
_atom_site_label
_atom_site_type_symbol
_atom_site_fract_x
_atom_site_fract_y
_atom_site_fract_z
Zn1 Zn 0.000 0.000 0.500
B1 B 0.000 0.000 0.000
Au1 Au 0.500 0.500 0.500

=====

[9]
# Ca2CdS, optimized geometry, DFT PBE-GGA
# DOS(E_F): 18.24 states/eV/cell
# VASP energy: -2.905 eV per atom
data_Ca2CdS
_symmetry_space_group_name_H-M 'F m -3 m'
_symmetry_Int_Tables_number 225
_symmetry_space_group_name_Hall '-F 4 2 3'
_cell_length_a 7.448
_cell_length_b 7.448
_cell_length_c 7.448
_cell_angle_alpha 90.00
_cell_angle_beta 90.00
_cell_angle_gamma 90.00
loop_
_atom_site_label
_atom_site_type_symbol
_atom_site_fract_x
_atom_site_fract_y
_atom_site_fract_z
Ca1 Ca 0.250 0.250 0.250
Cd1 Cd 0.000 0.000 0.000
S1 S 0.000 0.000 0.500

=====

[10]
# PrI3Br, optimized geometry, DFT PBE-GGA
# VASP energy: -3.411 eV per atom
data_PrI3Br
_symmetry_space_group_name_H-M 'C 1 2/m 1'
_symmetry_Int_Tables_number 12
_cell_length_a 12.055
_cell_length_b 9.784
_cell_length_c 8.682
_cell_angle_alpha 90.00
_cell_angle_beta 120.98
_cell_angle_gamma 90.00
loop_
_symmetry_equiv_pos_as_xyz
'x,y,z'
'-x,-y,-z'
'-x,y,-z'
'x,-y,z'
'x+1/2,y+1/2,z'
'-x+1/2,-y+1/2,-z'
'-x+1/2,y+1/2,-z'
'x+1/2,-y+1/2,z'
loop_
_atom_site_label
_atom_site_type_symbol
_atom_site_fract_x
_atom_site_fract_y
_atom_site_fract_z
Pr1 Pr 0.200 0.000 0.043
I1 I 0.037 0.500 0.372
I2 I 0.226 0.306 0.192
Br1 Br 0.061 0.000 0.250

=====

[11]
# ZnCuPt2C, optimized geometry, DFT PBE-GGA
# DOS(E_F): 3.35 states/eV/cell
# Formation energy: 1457 meV/atom
data_ZnCuPt2C
_symmetry_space_group_name_H-M 'P 4/m m m'
_symmetry_Int_Tables_number 123
_symmetry_space_group_name_Hall '-P 4 2'
_cell_length_a 4.783
_cell_length_b 4.783
_cell_length_c 3.538
_cell_angle_alpha 90.00
_cell_angle_beta 90.00
_cell_angle_gamma 90.00
loop_
_atom_site_label
_atom_site_type_symbol
_atom_site_fract_x
_atom_site_fract_y
_atom_site_fract_z
Zn1 Zn 0.000 0.000 0.000
Cu1 Cu 0.500 0.500 0.500
Pt1 Pt 0.000 0.500 0.000
C1 C 0.000 0.000 0.500

=====

[12]
# LaNd5Tl, optimized geometry, DFT PBE-GGA
# DOS(E_F): 11.94 states/eV/cell
# Formation energy: 263 meV/atom
data_LaNd5Tl
_symmetry_space_group_name_H-M 'P 4/m m m'
_symmetry_Int_Tables_number 123
_symmetry_space_group_name_Hall '-P 4 2'
_cell_length_a 5.915
_cell_length_b 5.915
_cell_length_c 7.150
_cell_angle_alpha 90.00
_cell_angle_beta 90.00
_cell_angle_gamma 90.00
loop_
_atom_site_label
_atom_site_type_symbol
_atom_site_fract_x
_atom_site_fract_y
_atom_site_fract_z
La1 La 0.000 0.000 0.000
Nd1 Nd 0.000 0.500 0.247
Nd2 Nd 0.500 0.500 0.500
Tl1 Tl 0.000 0.000 0.500